## Tl2ReTe (PBE)

Data for an optimized crystal structure of Tl2ReTe.

Computed properties:
D(E_F) (states/eV per atom): 0.909
VASP energy (eV per atom): -3.837
Uncorrected formation energy (kJ per mole of atoms): 120
Energy above the lowest structure with this stoichiometry (meV/atom): 836

POSCAR file:
```
Tl2ReTe
1.0
0.000 3.615 3.615
3.615 0.000 3.615
3.615 3.615 0.000
Tl Re Te
2 1 1
Cartesian
1.808 1.808 1.808
5.423 5.423 5.423
0.000 0.000 0.000
3.615 3.615 3.615
```

## CdCuTeN2 (PBE)

Data for an optimized crystal structure of CdCuTeN2.

Computed properties:
D(E_F) (states/eV per atom): 0.426
VASP energy (eV per atom): -3.192
Uncorrected formation energy (kJ per mole of atoms): 171
Energy above the lowest structure with this stoichiometry (meV/atom): 379

POSCAR file:
```
CdCuTeN2
1.0
4.178 0.000 0.000
0.000 4.178 0.000
0.000 0.000 6.378
Cd Cu Te N
1 1 1 2
Cartesian
0.000 0.000 0.000
2.089 2.089 3.189
0.000 0.000 3.189
0.000 2.089 0.000
2.089 0.000 0.000
```

## GaCu4Ni4 (PBE)

Data for an optimized crystal structure of GaCu4Ni4.

Computed properties:
Formation energy (meV per atom): -83
D(E_F) (states/eV per atom): 0.612
VASP energy (eV per atom): -4.810

POSCAR file:
```
GaCu4Ni4
1.0
-3.764 3.764 1.843
3.764 -3.764 1.843
3.764 3.764 -1.843
Ga Cu Ni
1 4 4
Cartesian
0.000 0.000 0.000
2.491 2.491 0.000
1.272 -1.272 1.843
-1.272 1.272 1.843
1.272 1.272 1.843
2.531 0.000 0.000
4.996 0.000 0.000
0.000 2.531 0.000
0.000 4.996 0.000
```

## Ce6InSn2 (PBE)

Data for an optimized crystal structure of Ce6InSn2.

Computed properties:
Formation energy (meV per atom): -276
D(E_F) (states/eV per atom): 2.763
VASP energy (eV per atom): -5.426
Energy above the lowest structure with this stoichiometry (meV/atom): 29

POSCAR file:
```
Ce6InSn2
1.0
-1.612 4.655 7.939
1.612 -4.655 7.939
1.612 4.655 -7.939
Ce In Sn
6 1 2
Cartesian
1.612 -1.703 5.452
0.000 1.612 0.000
0.000 2.951 2.487
1.612 1.703 5.452
0.000 7.697 0.000
0.000 6.358 2.487
0.000 0.000 7.939
1.612 0.000 2.548
0.000 4.655 5.391
```

## NaTbTm4Se8 (PBE)

Data for an optimized crystal structure of NaTbTm4Se8.

Computed properties:
D(E_F) (states/eV per atom): 0.000
VASP energy (eV per atom): -5.450
Uncorrected formation energy (kJ per mole of atoms): -169

POSCAR file:
```
NaTbTm4Se8
1.0
4.181 2.414 6.885
-4.181 2.414 6.885
0.000 -4.828 6.885
Na Tb Tm Se
1 1 4 8
Cartesian
0.000 0.000 0.000
0.000 0.000 7.611
0.000 -2.511 11.193
-2.175 1.256 11.193
0.000 0.000 15.452
2.175 1.256 11.193
0.000 -2.237 5.895
-1.937 1.119 5.895
0.000 0.000 2.771
-1.971 -1.138 9.518
1.937 1.119 5.895
0.000 0.000 12.710
1.971 -1.138 9.518
0.000 2.276 9.518
```

## Hf2AlGaH (PBE)

Data for an optimized crystal structure of Hf2AlGaH.

Computed properties:
D(E_F) (states/eV per atom): 1.239
VASP energy (eV per atom): -4.824

POSCAR file:
```
Hf2AlGaH
1.0
5.053 0.000 0.000
0.000 5.053 0.000
0.000 0.000 4.445
Hf Al Ga H
2 1 1 1
Cartesian
0.000 2.527 0.000
2.527 0.000 0.000
0.000 0.000 2.222
0.000 0.000 0.000
2.527 2.527 2.222
```

## CaTe2Cl (PBE)

Data for an optimized crystal structure of CaTe2Cl.

Computed properties:
D(E_F) (states/eV per atom): 0.471
VASP energy (eV per atom): -3.399
Uncorrected formation energy (kJ per mole of atoms): -84
Energy above the lowest structure with this stoichiometry (meV/atom): 216

POSCAR file:
```
CaTe2Cl
1.0
-1.901 3.265 5.051
1.901 -3.265 5.051
1.901 3.265 -5.051
Ca Te Cl
1 2 1
Cartesian
0.000 0.000 0.000
0.000 0.000 4.888
0.000 3.265 2.103
1.901 0.000 1.758
```

## NaCaY2 (PBE)

Data for an optimized crystal structure of NaCaY2.

Computed properties:
Formation energy (meV per atom): 494
D(E_F) (states/eV per atom): 1.425
VASP energy (eV per atom): -3.568
Energy above the lowest structure with this stoichiometry (meV/atom): 172

POSCAR file:
```
NaCaY2
1.0
-4.559 4.559 3.286
4.559 -4.559 3.286
4.559 4.559 -3.286
Na Ca Y
2 2 4
Cartesian
0.000 0.000 0.000
0.000 4.559 1.643
4.559 0.000 1.643
0.000 0.000 3.286
6.838 2.058 -0.821
2.058 2.279 0.821
-2.279 2.500 2.464
2.500 2.279 4.107
```

## In2FeH (PBE)

Data for an optimized crystal structure of In2FeH.

Computed properties:
D(E_F) (states/eV per atom): 0.672
VASP energy (eV per atom): -3.670
Energy above the lowest structure with this stoichiometry (meV/atom): 127

POSCAR file:
```
In2FeH
1.0
0.000 3.216 3.216
3.216 0.000 3.216
3.216 3.216 0.000
In Fe H
2 1 1
Cartesian
1.608 1.608 1.608
4.824 4.824 4.824
0.000 0.000 0.000
3.216 3.216 3.216
```

## PmEr3In2 (PBE)

Data for an optimized crystal structure of PmEr3In2.

Computed properties:
Formation energy (meV per atom): -247
D(E_F) (states/eV per atom): 1.042
VASP energy (eV per atom): -4.233
Energy above the lowest structure with this stoichiometry (meV/atom): 59

POSCAR file:
```
PmEr3In2
1.0
8.108 -2.676 0.000
8.108 2.676 0.000
-4.538 0.000 8.003
Pm Er In
2 6 4
Cartesian
1.365 0.000 1.357
10.313 0.000 6.647
-2.277 0.000 5.719
4.941 0.000 0.076
4.165 0.000 3.652
7.513 0.000 4.351
6.737 0.000 7.928
13.956 0.000 2.284
0.979 0.000 4.754
4.007 0.000 6.648
7.671 0.000 1.355
10.700 0.000 3.249
```

## Sr5Cd2Au (PBE)

Data for an optimized crystal structure of Sr5Cd2Au.

Computed properties:
Formation energy (meV per atom): -364
D(E_F) (states/eV per atom): 0.734
VASP energy (eV per atom): -2.053

POSCAR file:
```
Sr5Cd2Au
1.0
9.371 0.000 0.000
0.000 13.940 0.000
0.000 0.000 4.815
Sr Cd Au
10 4 2
Cartesian
0.000 0.000 0.000
1.449 4.203 0.000
1.687 8.100 2.407
2.998 1.130 2.407
3.237 11.173 0.000
4.686 6.970 0.000
6.134 2.767 0.000
6.373 12.810 2.407
7.684 5.840 2.407
7.923 9.737 0.000
0.558 11.535 2.407
4.127 4.565 2.407
5.244 9.375 2.407
8.813 2.405 2.407
0.000 6.970 0.000
4.686 0.000 0.000
```

## NpTlPdSe3 (PBE)

Data for an optimized crystal structure of NpTlPdSe3.

Computed properties:
D(E_F) (states/eV per atom): 1.991
VASP energy (eV per atom): -5.892
Uncorrected formation energy (kJ per mole of atoms): -71

POSCAR file:
```
NpTlPdSe3
1.0
8.933 0.000 0.000
0.000 4.166 0.000
-2.896 0.000 9.006
Np Tl Pd Se
2 2 2 6
Cartesian
1.161 1.042 1.432
4.876 3.125 7.573
0.532 3.125 6.853
5.504 1.042 2.152
2.453 3.125 3.745
3.583 1.042 5.261
-2.087 1.042 7.601
1.132 1.042 4.196
3.024 3.125 1.172
3.013 1.042 7.834
4.905 3.125 4.809
8.124 3.125 1.405
```

## Y4Co3 (PBE)

Data for an optimized crystal structure of Y4Co3.

Computed properties:
Formation energy (meV per atom): 53
D(E_F) (states/eV per atom): 0.668
VASP energy (eV per atom): -6.686
Energy above the lowest structure with this stoichiometry (meV/atom): 205

POSCAR file:
```
Y4Co3
1.0
-1.873 1.873 11.198
1.873 -1.873 11.198
1.873 1.873 -11.198
Y Co
4 3
Cartesian
0.000 0.000 1.565
0.000 0.000 7.024
0.000 0.000 15.373
0.000 0.000 20.832
0.000 0.000 4.197
0.000 0.000 11.198
0.000 0.000 18.200
```

## Mg2Cd5Pb (PBE)

Data for an optimized crystal structure of Mg2Cd5Pb.

Computed properties:
Formation energy (meV per atom): -36
D(E_F) (states/eV per atom): 0.429
VASP energy (eV per atom): -1.470

POSCAR file:
```
Mg2Cd5Pb
1.0
6.359 0.000 0.000
0.000 12.862 0.000
0.000 0.000 4.547
Mg Cd Pb
4 10 2
Cartesian
1.553 1.643 0.000
1.627 8.074 0.000
4.732 4.788 0.000
4.806 11.219 0.000
0.000 6.431 2.274
0.045 9.559 2.274
1.505 4.753 0.000
1.674 11.184 0.000
3.134 3.128 2.274
3.179 0.000 2.274
3.224 9.734 2.274
4.684 1.678 0.000
4.854 8.109 0.000
6.314 3.303 2.274
0.000 0.000 2.274
3.179 6.431 2.274
```

## Er3Ga4Ag (PBE)

Data for an optimized crystal structure of Er3Ga4Ag.

Computed properties:
Formation energy (meV per atom): -360
D(E_F) (states/eV per atom): 0.664
VASP energy (eV per atom): -3.941

POSCAR file:
```
Er3Ga4Ag
1.0
-1.762 3.141 8.213
1.762 -3.141 8.213
1.762 3.141 -8.213
Er Ga Ag
3 4 1
Cartesian
0.000 0.000 0.000
1.762 0.000 4.640
0.000 3.141 3.574
1.762 1.372 -1.998
1.762 1.372 1.998
0.000 1.769 6.216
0.000 1.769 10.211
0.000 0.000 8.213
```

## Tb2SmSn (PBE)

Data for an optimized crystal structure of Tb2SmSn.

Computed properties:
Formation energy (meV per atom): -402
D(E_F) (states/eV per atom): 1.306
VASP energy (eV per atom): -4.897
Energy above the lowest structure with this stoichiometry (meV/atom): 30

POSCAR file:
```
Tb2SmSn
1.0
4.654 0.000 0.000
0.000 4.681 0.000
-2.319 0.000 11.340
Tb Sm Sn
4 2 2
Cartesian
0.001 1.170 1.372
0.006 1.170 9.897
2.328 3.511 1.443
2.333 3.511 9.968
-0.001 3.511 4.387
2.336 1.170 6.952
0.012 3.511 7.588
2.323 1.170 3.752
```

## Dy4ZrN4 (PBE)

Data for an optimized crystal structure of Dy4ZrN4.

Computed properties:
D(E_F) (states/eV per atom): 0.246
VASP energy (eV per atom): -8.187
Uncorrected formation energy (kJ per mole of atoms): -144

POSCAR file:
```
Dy4ZrN4
1.0
-3.822 3.822 2.464
3.822 -3.822 2.464
3.822 3.822 -2.464
Dy Zr N
4 1 4
Cartesian
2.359 0.828 0.000
2.994 -1.463 2.464
0.828 5.285 0.000
1.463 2.994 2.464
0.000 0.000 2.464
4.538 1.621 0.000
1.621 3.106 0.000
2.201 0.716 2.464
-0.716 2.201 2.464
```

## U2MnGa (PBE)

Data for an optimized crystal structure of U2MnGa.

Computed properties:
Formation energy (meV per atom): -23
D(E_F) (states/eV per atom): 1.932
VASP energy (eV per atom): -8.716
Energy above the lowest structure with this stoichiometry (meV/atom): 0

POSCAR file:
```
U2MnGa
1.0
4.030 0.000 0.000
0.000 4.030 0.000
0.000 0.000 4.397
U Mn Ga
2 1 1
Cartesian
0.000 2.015 0.000
2.015 0.000 0.000
0.000 0.000 2.199
2.015 2.015 2.199
```

## NbHOs2Rh (PBE)

Data for an optimized crystal structure of NbHOs2Rh.

Computed properties:
D(E_F) (states/eV per atom): 0.494
VASP energy (eV per atom): -8.756
Energy above the lowest structure with this stoichiometry (meV/atom): 39

POSCAR file:
```
NbHOs2Rh
1.0
3.926 0.000 0.000
0.000 3.926 0.000
0.000 0.000 4.054
Nb H Os Rh
1 1 2 1
Cartesian
0.000 0.000 0.000
0.000 0.000 2.027
0.000 1.963 2.027
1.963 0.000 2.027
1.963 1.963 0.000
```

## DyMg3Ni2 (PBE)

Data for an optimized crystal structure of DyMg3Ni2.

Computed properties:
Formation energy (meV per atom): -184
D(E_F) (states/eV per atom): 0.590
VASP energy (eV per atom): -3.676

POSCAR file:
```
DyMg3Ni2
1.0
7.267 -1.937 0.000
7.267 1.937 0.000
-5.735 0.000 8.607
Dy Mg Ni
2 6 4
Cartesian
0.849 0.000 1.989
7.949 0.000 6.618
-2.058 0.000 6.368
2.896 0.000 4.739
5.662 0.000 0.633
3.136 0.000 7.973
5.902 0.000 3.867
10.855 0.000 2.239
3.065 0.000 0.389
0.194 0.000 4.750
8.604 0.000 3.857
5.733 0.000 8.218
```

## ZrSc2Co2 (PBE)

Data for an optimized crystal structure of ZrSc2Co2.

Computed properties:
Formation energy (meV per atom): 232
D(E_F) (states/eV per atom): 1.309
VASP energy (eV per atom): -6.853
Energy above the lowest structure with this stoichiometry (meV/atom): 492

POSCAR file:
```
ZrSc2Co2
1.0
-2.260 2.260 4.528
2.260 -2.260 4.528
2.260 2.260 -4.528
Zr Sc Co
1 2 2
Cartesian
0.000 0.000 0.000
0.000 0.000 3.093
0.000 0.000 5.963
2.260 0.000 2.264
0.000 2.260 2.264
```

## CaCu2Te (PBE)

Data for an optimized crystal structure of CaCu2Te.

Computed properties:
D(E_F) (states/eV per atom): 0.367
VASP energy (eV per atom): -3.486
Uncorrected formation energy (kJ per mole of atoms): -15

POSCAR file:
```
CaCu2Te
1.0
-2.155 2.155 4.403
2.155 -2.155 4.403
2.155 2.155 -4.403
Ca Cu Te
1 2 1
Cartesian
0.000 0.000 0.000
2.155 0.000 2.202
0.000 2.155 2.202
0.000 0.000 4.403
```

## HfH2Br3 (PBE)

Data for an optimized crystal structure of HfH2Br3.

Computed properties:
D(E_F) (states/eV per atom): 0.055
VASP energy (eV per atom): -4.503

POSCAR file:
```
HfH2Br3
1.0
7.880 0.000 0.000
-3.940 6.824 0.000
0.000 0.000 6.152
Hf H Br
2 4 6
Cartesian
0.000 0.000 0.000
0.000 0.000 3.076
0.000 4.550 1.162
0.000 4.550 1.913
3.940 2.275 4.238
3.940 2.275 4.989
0.000 2.196 4.614
-2.038 5.726 4.614
1.902 1.098 1.538
2.038 5.726 4.614
5.978 1.098 1.538
3.940 4.628 1.538
```